No. 1
CrRh at its PBEsol-relaxed geometry. Source: the Alexandria database, functional meta-GGA SCAN.

Values from the calculation:
DOS(E_F) (states/eV/cell): 6.19
E_form (eV/atom): -0.015
E_tot (eV/atom): -26.093
Calculated density (kg/m³): 10400

Lattice parameters (Å, degrees): 4.9222 4.9222 6.1645 103.87 103.87 30.86
Last column: nearest neighbours and their distance in Å.
Fractional positions:
Cr (0.0000, 0.0000, 0.0000)  7 Rh 2.52-2.65, 5 Cr 2.62-2.65
Cr (0.0624, 0.0624, 0.6048)  7 Rh 2.56-2.59, 5 Cr 2.57-2.65
Cr (0.6736, 0.6736, 0.3296)  6 Rh 2.53-2.63, 6 Cr 2.57-2.63
Rh (0.3422, 0.3422, 0.6668)  7 Cr 2.57-2.63, 5 Rh 2.60-2.65
Rh (0.3990, 0.3990, 0.2755)  7 Cr 2.52-2.60, 5 Rh 2.60-2.70
Rh (0.7141, 0.7141, 0.9394)  6 Cr 2.52-2.65, 6 Rh 2.62-2.70



No. 2
Sm3P6Pd20 at its PBEsol-relaxed geometry. Source: the Alexandria database, functional meta-GGA SCAN.

Values from the calculation:
DOS(E_F) (states/eV/cell): 11.32
E_form (eV/atom): -0.777
E_tot (eV/atom): -30.129
Calculated density (kg/m³): 10298

Lattice parameters (Å, degrees): 8.5753 8.5753 8.5753 60.00 60.00 60.00
Last column: nearest neighbours and their distance in Å.
Fractional positions:
Sm (0.0000, 0.0000, 0.0000)  12 Pd 2.98, 6 P 3.19
Sm (0.2500, 0.2500, 0.2500)  4 Pd 2.85
Sm (0.7500, 0.7500, 0.7500)  4 Pd 2.85
P (0.2628, 0.2628, 0.7372)  8 Pd 2.37-2.46
P (0.2628, 0.7372, 0.2628)  8 Pd 2.37-2.46
P (0.2628, 0.7372, 0.7372)  8 Pd 2.37-2.46
P (0.7372, 0.2628, 0.2628)  8 Pd 2.37-2.46
P (0.7372, 0.2628, 0.7372)  8 Pd 2.37-2.46
P (0.7372, 0.7372, 0.2628)  8 Pd 2.37-2.46
Pd (0.0000, 0.0000, 0.3469)  2 P 2.37, 1 Pd 2.63
Pd (0.0000, 0.0000, 0.6531)  2 P 2.37, 1 Pd 2.63
Pd (0.0000, 0.3469, 0.0000)  2 P 2.37, 1 Pd 2.63
Pd (0.0000, 0.3469, 0.6531)  2 P 2.37, 1 Pd 2.63
Pd (0.0000, 0.6531, 0.0000)  2 P 2.37, 1 Pd 2.63
Pd (0.0000, 0.6531, 0.3469)  2 P 2.37, 1 Pd 2.63
Pd (0.1565, 0.6145, 0.6145)  3 P 2.46
Pd (0.3469, 0.0000, 0.0000)  2 P 2.37, 1 Pd 2.63
Pd (0.3469, 0.0000, 0.6531)  2 P 2.37, 1 Pd 2.63
Pd (0.3469, 0.6531, 0.0000)  2 P 2.37, 1 Pd 2.63
Pd (0.3855, 0.3855, 0.3855)  3 P 2.46
Pd (0.3855, 0.3855, 0.8435)  3 P 2.46
Pd (0.3855, 0.8435, 0.3855)  3 P 2.46
Pd (0.6145, 0.1565, 0.6145)  3 P 2.46
Pd (0.6145, 0.6145, 0.1565)  3 P 2.46
Pd (0.6145, 0.6145, 0.6145)  3 P 2.46
Pd (0.6531, 0.0000, 0.0000)  2 P 2.37, 1 Pd 2.63
Pd (0.6531, 0.0000, 0.3469)  2 P 2.37, 1 Pd 2.63
Pd (0.6531, 0.3469, 0.0000)  2 P 2.37, 1 Pd 2.63
Pd (0.8435, 0.3855, 0.3855)  3 P 2.46



No. 3
CaAl2B2O7 at its PBEsol-relaxed geometry. Source: the Alexandria database, functional meta-GGA SCAN.

Values from the calculation:
DOS(E_F) (states/eV/cell): 0.00
Formation energy (no corrections) (eV/atom): -3.1114
E_tot (eV/atom): -10.082
Calculated density (kg/m³): 2407

Lattice parameters (Å, degrees): 15.7948 15.7948 15.7948 17.59 17.59 17.59
Last column: nearest neighbours and their distance in Å.
Fractional positions:
Ca (0.0000, 0.0000, 0.0000)  6 O 2.37
Ca (0.5000, 0.5000, 0.5000)  6 O 2.37
Al (0.2139, 0.2139, 0.2139)  4 O 1.68-1.79
Al (0.2861, 0.2861, 0.2861)  4 O 1.68-1.79
Al (0.7139, 0.7139, 0.7139)  4 O 1.68-1.79
Al (0.7861, 0.7861, 0.7861)  4 O 1.68-1.79
B (0.1345, 0.1345, 0.1345)  3 O 1.38
B (0.3655, 0.3655, 0.3655)  3 O 1.38
B (0.6345, 0.6345, 0.6345)  3 O 1.38
B (0.8655, 0.8655, 0.8655)  3 O 1.38
O (0.0629, 0.4011, 0.6298)  1 B 1.38
O (0.0989, 0.4371, 0.8702)  1 B 1.38
O (0.1298, 0.9011, 0.5629)  1 B 1.38
O (0.2500, 0.2500, 0.2500)  2 Al 1.68
O (0.3702, 0.9371, 0.5989)  1 B 1.38
O (0.4011, 0.6298, 0.0629)  1 B 1.38
O (0.4371, 0.8702, 0.0989)  1 B 1.38
O (0.5629, 0.1298, 0.9011)  1 B 1.38
O (0.5989, 0.3702, 0.9371)  1 B 1.38
O (0.6298, 0.0629, 0.4011)  1 B 1.38
O (0.7500, 0.7500, 0.7500)  2 Al 1.68
O (0.8702, 0.0989, 0.4371)  1 B 1.38
O (0.9011, 0.5629, 0.1298)  1 B 1.38
O (0.9371, 0.5989, 0.3702)  1 B 1.38



No. 4
Ba2HfTeMo at its PBEsol-relaxed geometry. Source: the Alexandria database, functional meta-GGA SCAN.

Values from the calculation:
DOS(E_F) (states/eV/cell): 3.67
Formation energy (no corrections) (eV/atom): 0.9785
E_tot (eV/atom): -41.803
Calculated density (kg/m³): 5433

Lattice parameters (Å, degrees): 6.2317 6.2317 5.3257 90.00 90.00 90.00
Last column: nearest neighbours and their distance in Å.
Fractional positions:
Ba (0.0000, 0.5000, 0.0000)  2 Hf 3.12
Ba (0.5000, 0.0000, 0.0000)  2 Hf 3.12
Hf (0.0000, 0.0000, 0.0000)  2 Te 2.66
Te (0.0000, 0.0000, 0.5000)  2 Hf 2.66
Mo (0.5000, 0.5000, 0.5000)  8 Ba 4.10, 4 Te 4.41



No. 5
Ba2Bi at its PBEsol-relaxed geometry. Source: the Alexandria database, functional meta-GGA SCAN.

Values from the calculation:
DOS(E_F) (states/eV/cell): 2.80
E_form (eV/atom): -0.882
E_tot (eV/atom): -53.442
Calculated density (kg/m³): 6145

Lattice parameters (Å, degrees): 10.2262 10.2262 10.2262 150.33 150.33 42.46
Last column: nearest neighbours and their distance in Å.
Fractional positions:
Ba (0.0000, 0.5000, 0.5000)  4 Bi 3.66, 4 Ba 3.70
Ba (0.1797, 0.1797, 0.0000)  5 Bi 3.55-3.80
Ba (0.5000, 0.0000, 0.5000)  4 Bi 3.66, 4 Ba 3.70
Ba (0.8203, 0.8203, 0.0000)  5 Bi 3.55-3.80
Bi (0.3661, 0.3661, 0.0000)  9 Ba 3.55-3.80
Bi (0.6339, 0.6339, 0.0000)  9 Ba 3.55-3.80



No. 6
TlCr2Te at its PBEsol-relaxed geometry. Source: the Alexandria database, functional meta-GGA SCAN.

Values from the calculation:
DOS(E_F) (states/eV/cell): 2.64
Energy above the lowest structure with this stoichiometry (meV per atom): 174
Formation energy (no corrections) (eV/atom): 0.5567
E_tot (eV/atom): -36.038
Calculated density (kg/m³): 10727

Lattice parameters (Å, degrees): 4.5700 4.5700 4.5700 60.00 60.00 60.00
Last column: nearest neighbours and their distance in Å.
Fractional positions:
Tl (0.0000, 0.0000, 0.0000)  8 Cr 2.80
Cr (0.2500, 0.2500, 0.2500)  4 Tl 2.80, 4 Te 2.80
Cr (0.7500, 0.7500, 0.7500)  4 Te 2.80, 4 Tl 2.80
Te (0.5000, 0.5000, 0.5000)  8 Cr 2.80



No. 7
Li2CaFe at its PBEsol-relaxed geometry. Source: the Alexandria database, functional meta-GGA SCAN.

Values from the calculation:
DOS(E_F) (states/eV/cell): 2.25
Energy above the lowest structure with this stoichiometry (meV per atom): 21
E_form (eV/atom): 0.411
E_tot (eV/atom): -7.732
Calculated density (kg/m³): 2338

Lattice parameters (Å, degrees): 5.4266 5.4266 5.4266 141.66 126.97 67.31
Last column: nearest neighbours and their distance in Å.
Fractional positions:
Li (0.0000, 0.0000, 0.0000)  2 Li 2.84, 4 Fe 3.03, 4 Ca 3.07-3.15
Li (0.7549, 0.2549, 0.5000)  2 Fe 2.63, 2 Li 2.84
Ca (0.2771, 0.7771, 0.5000)  4 Fe 2.97-3.23, 8 Li 3.01-3.15
Fe (0.5402, 0.5402, 0.0000)  2 Li 2.63



No. 8
Li2OsW at its PBEsol-relaxed geometry. Source: the Alexandria database, functional meta-GGA SCAN.

Values from the calculation:
DOS(E_F) (states/eV/cell): 2.32
Energy above the lowest structure with this stoichiometry (meV per atom): 0
E_form (eV/atom): 0.273
E_tot (eV/atom): -36.314
Calculated density (kg/m³): 11183

Lattice parameters (Å, degrees): 5.0000 5.0000 4.5929 98.49 98.49 30.51
Last column: nearest neighbours and their distance in Å.
Fractional positions:
Li (0.2453, 0.2453, 0.2416)  6 Li 2.59-2.70, 3 Os 2.79-2.85, 3 W 2.81-2.88
Li (0.7547, 0.7547, 0.7584)  6 Li 2.59-2.70, 3 Os 2.79-2.85, 3 W 2.81-2.88
Os (0.5000, 0.5000, 0.0000)  2 Os 2.63, 4 W 2.65, 6 Li 2.79-2.85
W (0.0000, 0.0000, 0.5000)  2 W 2.63, 4 Os 2.65, 6 Li 2.81-2.88



No. 9
In3ReSe at its PBEsol-relaxed geometry. Source: the Alexandria database, functional meta-GGA SCAN.

Values from the calculation:
DOS(E_F) (states/eV/cell): 4.27
Formation energy (no corrections) (eV/atom): 1.5498
E_tot (eV/atom): -36.717
Calculated density (kg/m³): 7197

Lattice parameters (Å, degrees): 5.2005 5.2005 5.2005 90.00 90.00 90.00
Last column: nearest neighbours and their distance in Å.
Fractional positions:
In (0.0000, 0.0000, 0.5000)  2 Se 2.60
In (0.0000, 0.5000, 0.0000)  2 Se 2.60
In (0.5000, 0.0000, 0.0000)  2 Se 2.60
Re (0.5000, 0.5000, 0.5000)  12 In 3.68
Se (0.0000, 0.0000, 0.0000)  6 In 2.60



No. 10
Li2Ti3CoP6O24 at its PBEsol-relaxed geometry. Source: the Alexandria database, functional meta-GGA SCAN.

Values from the calculation:
DOS(E_F) (states/eV/cell): 8.22
Formation energy (no corrections) (eV/atom): -2.5928
E_tot (eV/atom): -10.429
Calculated density (kg/m³): 3051

Lattice parameters (Å, degrees): 8.4427 8.4427 8.4427 60.25 60.25 60.25
Last column: nearest neighbours and their distance in Å.
Fractional positions:
Li (0.0000, 0.0000, 0.0000)  3 O 2.07
Li (0.4944, 0.4944, 0.4944)  6 O 2.18-2.25
Ti (0.3533, 0.3533, 0.3533)  6 O 1.88-1.97
Ti (0.6342, 0.6342, 0.6342)  6 O 1.91-1.97
Ti (0.8549, 0.8549, 0.8549)  6 O 1.90-1.95
Co (0.1329, 0.1329, 0.1329)  6 O 1.85-1.89
P (0.0348, 0.7524, 0.4476)  4 O 1.53-1.55
P (0.2459, 0.5225, 0.9541)  4 O 1.53-1.54
P (0.4476, 0.0348, 0.7524)  4 O 1.53-1.55
P (0.5225, 0.9541, 0.2459)  4 O 1.53-1.54
P (0.7524, 0.4476, 0.0348)  4 O 1.53-1.55
P (0.9541, 0.2459, 0.5225)  4 O 1.53-1.54
O (0.0378, 0.9250, 0.2556)  1 P 1.55
O (0.0760, 0.7153, 0.9465)  1 P 1.54
O (0.1135, 0.3128, 0.4813)  1 P 1.53
O (0.1984, 0.3551, 0.9812)  1 P 1.54
O (0.2308, 0.5892, 0.4229)  1 P 1.54
O (0.2556, 0.0378, 0.9250)  1 P 1.55
O (0.3128, 0.4813, 0.1135)  1 P 1.53
O (0.3551, 0.9812, 0.1984)  1 P 1.54
O (0.4076, 0.5510, 0.7564)  1 P 1.54
O (0.4229, 0.2308, 0.5892)  1 P 1.54
O (0.4813, 0.1135, 0.3128)  1 P 1.53
O (0.4896, 0.8696, 0.6915)  1 P 1.54
O (0.5510, 0.7564, 0.4076)  1 P 1.54
O (0.5892, 0.4229, 0.2308)  1 P 1.54
O (0.6164, 0.9940, 0.8046)  1 P 1.53
O (0.6915, 0.4896, 0.8696)  1 P 1.54
O (0.7153, 0.9465, 0.0760)  1 P 1.54
O (0.7564, 0.4076, 0.5510)  1 P 1.54
O (0.8046, 0.6164, 0.9940)  1 P 1.53
O (0.8696, 0.6915, 0.4896)  1 P 1.54
O (0.9250, 0.2556, 0.0378)  1 P 1.55
O (0.9465, 0.0760, 0.7153)  1 P 1.54
O (0.9812, 0.1984, 0.3550)  1 P 1.54
O (0.9940, 0.8046, 0.6164)  1 P 1.53



Q: Number 1 is which compound?
A: CrRh